# 1
First-principles (PBE) data for crystalline LiSb2Pd4 at its relaxed geometry, as listed in Alexandria.

Computed properties:
The value obtained for the density of states at the Fermi level is 4.232 states/eV/f.u. The magnetic moment is 0.00 μB per cell. The calculation puts the total energy at -4.547 eV per atom.

CIF file:
```
data_LiSb2Pd4
_space_group_name_H-M_alt 'I 4/m m m'
_space_group_IT_number 139
_space_group_name_Hall '-I 4 2'
_cell_length_a 4.316
_cell_length_b 4.316
_cell_length_c 13.653
_cell_angle_alpha 90.00
_cell_angle_beta 90.00
_cell_angle_gamma 90.00
loop_
_atom_site_label
_atom_site_fract_x
_atom_site_fract_y
_atom_site_fract_z
Li1 0.000 0.000 0.000
Sb1 0.000 0.000 0.367
Pd1 0.000 0.000 0.176
Pd2 0.000 0.500 0.000
```



# 2
First-principles (PBE) data for crystalline LiSbPd6 at its relaxed geometry, as listed in Alexandria.

Computed properties:
The value obtained for the density of states at the Fermi level is 4.634 states/eV/f.u. The magnetic moment is 0.00 μB per cell. The calculation puts the total energy at -5.011 eV per atom.

CIF file:
```
data_LiSbPd6
_space_group_name_H-M_alt 'I 4/m m m'
_space_group_IT_number 139
_space_group_name_Hall '-I 4 2'
_cell_length_a 4.118
_cell_length_b 4.118
_cell_length_c 14.642
_cell_angle_alpha 90.00
_cell_angle_beta 90.00
_cell_angle_gamma 90.00
loop_
_atom_site_label
_atom_site_fract_x
_atom_site_fract_y
_atom_site_fract_z
Li1 0.000 0.000 0.000
Sb1 0.000 0.000 0.500
Pd1 0.000 0.000 0.252
Pd2 0.000 0.500 0.119
```



# 3
First-principles (PBE) data for crystalline LiSb2Pd4 at its relaxed geometry, as listed in Alexandria.

Computed properties:
The value obtained for the density of states at the Fermi level is 2.704 states/eV/f.u. The magnetic moment is 0.00 μB per cell. The calculation puts the total energy at -4.922 eV per atom.

CIF file:
```
data_LiSb2Pd4
_space_group_name_H-M_alt 'R -3 m'
_space_group_IT_number 166
_space_group_name_Hall '-R 3 2"'
_cell_length_a 4.4514
_cell_length_b 4.4514
_cell_length_c 21.7289
_cell_angle_alpha 90.00
_cell_angle_beta 90.00
_cell_angle_gamma 120.00
loop_
_atom_site_label
_atom_site_fract_x
_atom_site_fract_y
_atom_site_fract_z
Li1 0.0000 0.0000 0.0000
Sb1 0.0000 0.0000 0.2497
Pd1 0.0000 0.0000 0.1256
Pd2 0.0000 0.0000 0.3760
```